(1)
# DyThSb2

A relaxed structure of DyThSb2 (GGA-PBE, Alexandria).

The calculation puts the raw formation energy at -353 kJ/mol of formula units. As for the energy: -5.9823 eV/atom. The excess energy over the best structure of this formula in the dataset is 0.107 eV per atom. For the size of the total moment, the calculation gives 0.00 μB per formula unit.

Cell lengths 4.3916, 4.3916, 22.7732 Å; angles 90.00, 90.00, 120.00 degrees
Space group R3m (No. 160, hexagonal axes)
Unique sites:
Dy  0.0000  0.0000  0.0000
Th  0.0000  0.0000  0.8272
Sb  0.0000  0.0000  0.2479
Sb  0.0000  0.0000  0.4115



(2)
# Ta2AgI

A relaxed structure of Ta2AgI (GGA-PBE, Alexandria).

The calculation puts the raw formation energy at 346 kJ/mol of formula units. As for the energy: -6.1304 eV/atom. The excess energy over the best structure of this formula in the dataset is 0.000 eV per atom. For the size of the total moment, the calculation gives 0.00 μB per formula unit.

Cell lengths 6.733, 6.733, 6.733 Å; angles 90.00, 90.00, 90.00 degrees
Space group Fm-3m (No. 225)
Unique sites:
Ta  0.250  0.250  0.250
Ag  0.000  0.000  0.000
I  0.000  0.000  0.500



(3)
# CrGa2W

A relaxed structure of CrGa2W (GGA-PBE, Alexandria).

The energy of formation from the pure elements comes out at 0.567 eV per atom. As for the energy: -6.5903 eV/atom. The excess energy over the best structure of this formula in the dataset is 0.171 eV per atom. For the size of the total moment, the calculation gives 2.01 μB per formula unit.

Cell lengths 6.905, 6.905, 5.327 Å; angles 90.00, 90.00, 90.00 degrees
Space group I-42d (No. 122)
Unique sites:
Cr  0.000  0.000  0.000
Ga  0.237  0.250  0.125
W  0.000  0.000  0.500



(4)
# Nd8Er2Tl

A relaxed structure of Nd8Er2Tl (GGA-PBE, Alexandria).

The energy of formation from the pure elements comes out at 0.078 eV per atom. As for the energy: -4.4344 eV/atom. The excess energy over the best structure of this formula in the dataset is 0.121 eV per atom. For the size of the total moment, the calculation gives 0.00 μB per formula unit.

Cell lengths 8.437, 5.470, 8.439 Å; angles 90.00, 103.42, 90.00 degrees
Space group P2/m (No. 10)
Unique sites:
Nd  0.027  0.000  0.300
Nd  0.252  0.500  0.749
Nd  0.300  0.000  0.028
Nd  0.334  0.500  0.335
Er  0.379  0.000  0.621
Tl  0.000  0.500  0.000



(5)
# OsBr2Cl

A relaxed structure of OsBr2Cl (GGA-PBE, Alexandria).

The calculation puts the raw formation energy at 93 kJ/mol of formula units. As for the energy: -3.8637 eV/atom. The excess energy over the best structure of this formula in the dataset is 0.237 eV per atom. For the size of the total moment, the calculation gives 1.03 μB per formula unit.

Cell lengths 12.654, 3.452, 6.657 Å; angles 90.00, 120.38, 90.00 degrees
Space group Cm (No. 8)
Unique sites:
Os  0.000  0.000  0.000
Br  0.347  0.000  0.723
Br  0.497  0.000  0.280
Cl  0.132  0.500  0.998



(6)
# Ac4PSe3

A relaxed structure of Ac4PSe3 (GGA-PBE, Alexandria).

The calculation puts the raw formation energy at -1404 kJ/mol of formula units. As for the energy: -5.8561 eV/atom. The excess energy over the best structure of this formula in the dataset is 0.000 eV per atom. For the size of the total moment, the calculation gives 0.00 μB per formula unit.

Cell lengths 8.975, 12.619, 4.441 Å; angles 90.00, 90.00, 90.00 degrees
Space group Cmmm (No. 65)
Unique sites:
Ac  0.000  0.242  0.000
Ac  0.236  0.000  0.500
P  0.000  0.000  0.000
Se  0.000  0.500  0.000
Se  0.250  0.250  0.500



(7)
# TbY3N4

A relaxed structure of TbY3N4 (GGA-PBE, Alexandria).

The calculation puts the raw formation energy at -1301 kJ/mol of formula units. As for the energy: -8.8509 eV/atom. For the size of the total moment, the calculation gives 0.00 μB per formula unit.

Cell lengths 6.033, 6.969, 6.033 Å; angles 90.00, 109.46, 90.00 degrees
Space group P2/c (No. 13)
Unique sites:
Tb  0.000  0.125  0.250
Y  0.000  0.375  0.750
Y  0.500  0.125  0.750
Y  0.500  0.375  0.250
N  0.250  0.125  0.000
N  0.250  0.375  0.500



(8)
# Cs2NaICl2

A relaxed structure of Cs2NaICl2 (GGA-PBE, Alexandria).

The calculation puts the raw formation energy at -995 kJ/mol of formula units. As for the energy: -3.0972 eV/atom. For the size of the total moment, the calculation gives 0.00 μB per formula unit.

Cell lengths 5.382, 5.382, 8.635 Å; angles 90.00, 90.00, 90.00 degrees
Space group P4/mmm (No. 123)
Unique sites:
Cs  0.000  0.000  0.240
Na  0.500  0.500  0.500
I  0.500  0.500  0.000
Cl  0.000  0.500  0.500



(9)
# Li2SiAg

A relaxed structure of Li2SiAg (GGA-PBE, Alexandria).

The calculation puts the raw formation energy at -61 kJ/mol of formula units. As for the energy: -3.1833 eV/atom. For the size of the total moment, the calculation gives 0.00 μB per formula unit.

Cell lengths 2.858, 4.413, 4.842 Å; angles 90.00, 90.00, 90.00 degrees
Space group Pmm2 (No. 25)
Unique sites:
Li  0.000  0.000  0.000
Li  0.000  0.500  0.325
Si  0.500  0.500  0.824
Ag  0.500  0.000  0.522



(10)
# Th5AsS4

A relaxed structure of Th5AsS4 (GGA-PBE, Alexandria).

The calculation puts the raw formation energy at -1690 kJ/mol of formula units. As for the energy: -7.5771 eV/atom. For the size of the total moment, the calculation gives 0.00 μB per formula unit.

Cell lengths 4.115, 5.787, 20.282 Å; angles 90.00, 90.00, 90.00 degrees
Space group Immm (No. 71)
Unique sites:
Th  0.000  0.000  0.000
Th  0.000  0.000  0.199
Th  0.000  0.000  0.396
As  0.000  0.500  0.000
S  0.000  0.500  0.203
S  0.000  0.500  0.400



(11)
# CdBiSb2

A relaxed structure of CdBiSb2 (GGA-PBE, Alexandria).

The calculation puts the raw formation energy at 35 kJ/mol of formula units. As for the energy: -3.1707 eV/atom. The excess energy over the best structure of this formula in the dataset is 0.022 eV per atom. For the size of the total moment, the calculation gives 0.00 μB per formula unit.

Cell lengths 4.3308, 4.3308, 22.5887 Å; angles 90.00, 90.00, 120.00 degrees
Space group R3m (No. 160, hexagonal axes)
Unique sites:
Cd  0.0000  0.0000  0.0000
Bi  0.0000  0.0000  0.8316
Sb  0.0000  0.0000  0.2533
Sb  0.0000  0.0000  0.4098



(12)
# Ba2LiPtN

A relaxed structure of Ba2LiPtN (GGA-PBE, Alexandria).

The calculation puts the raw formation energy at -210 kJ/mol of formula units. As for the energy: -4.4609 eV/atom. The excess energy over the best structure of this formula in the dataset is 0.000 eV per atom. For the size of the total moment, the calculation gives 0.00 μB per formula unit.

Cell lengths 5.583, 5.583, 3.997 Å; angles 90.00, 90.00, 90.00 degrees
Space group P4/mmm (No. 123)
Unique sites:
Ba  0.000  0.500  0.000
Li  0.000  0.000  0.500
Pt  0.500  0.500  0.500
N  0.000  0.000  0.000



(13)
# Na3NbSn

A relaxed structure of Na3NbSn (GGA-PBE, Alexandria).

The energy of formation from the pure elements comes out at 1.269 eV per atom. As for the energy: -2.3368 eV/atom. The excess energy over the best structure of this formula in the dataset is 0.172 eV per atom. For the size of the total moment, the calculation gives 4.34 μB per formula unit.

Cell lengths 5.724, 5.724, 5.724 Å; angles 90.00, 90.00, 90.00 degrees
Space group Pm-3m (No. 221)
Unique sites:
Na  0.000  0.000  0.500
Nb  0.000  0.000  0.000
Sn  0.500  0.500  0.500



(14)
# HfZn3Cd

A relaxed structure of HfZn3Cd (GGA-PBE, Alexandria).

The energy of formation from the pure elements comes out at 0.798 eV per atom. As for the energy: -2.1397 eV/atom. The excess energy over the best structure of this formula in the dataset is 0.900 eV per atom. For the size of the total moment, the calculation gives 0.00 μB per formula unit.

Cell lengths 4.782, 4.782, 4.782 Å; angles 90.00, 90.00, 90.00 degrees
Space group Pm-3m (No. 221)
Unique sites:
Hf  0.000  0.000  0.000
Zn  0.000  0.500  0.500
Cd  0.500  0.500  0.500



(15)
# NdLuAl

A relaxed structure of NdLuAl (GGA-PBE, Alexandria).

The energy of formation from the pure elements comes out at -0.224 eV per atom. As for the energy: -4.5679 eV/atom. The excess energy over the best structure of this formula in the dataset is 0.000 eV per atom. For the size of the total moment, the calculation gives 0.00 μB per formula unit.

Cell lengths 3.472, 3.472, 13.458 Å; angles 90.00, 90.00, 90.00 degrees
Space group I4mm (No. 107)
Unique sites:
Nd  0.000  0.000  0.000
Lu  0.000  0.000  0.704
Al  0.000  0.000  0.343